# 1
An optimized crystal structure of LiHIrPd2, computed with PBE.

## Properties
Total magnetic moment (Bohr magnetons per cell): 0.00
DOS at the Fermi energy (states/eV per atom): 0.7134
Relative energy among the computed polymorphs (meV per atom): 56

Unit cell a=3.897 b=3.897 c=3.910 alpha=90.00 beta=90.00 gamma=90.00
Element x y z (fractional)
Li: 0.000 0.000 0.500
Ir: 0.500 0.500 0.500
Pd: 0.500 0.000 0.000
Pd: 0.000 0.500 0.000
H: 0.000 0.000 0.000

---

# 2
An optimized crystal structure of BeMo2H, computed with PBE.

## Properties
Total magnetic moment (Bohr magnetons per cell): 0.00
DOS at the Fermi energy (states/eV per atom): 0.6178
Relative energy among the computed polymorphs (meV per atom): 284

Unit cell a=3.960 b=3.960 c=3.960 alpha=60.00 beta=60.00 gamma=60.00
Element x y z (fractional)
H: 0.000 0.000 0.000
Be: 0.500 0.500 0.500
Mo: 0.250 0.250 0.250
Mo: 0.750 0.750 0.750